[1]
## Si2AsRu (PBE)

Data for an optimized crystal structure of Si2AsRu.

a b c (Å): 2.972 2.972 7.034
angles (deg): 90.00 90.00 90.00
Atoms (fractional coordinates):
As 0.000 0.000 0.545
Ru 0.500 0.500 0.784
Si 0.000 0.000 0.978
Si 0.500 0.500 0.194

Results
As for the total moment: 0.0 μB per cell. Its crystal system is tetragonal. The formation energy (no corrections) is 0.03 eV/atom. For the total energy, the calculation gives -6.161 eV per atom.

[2]
## Si2AsRu (PBE)

Data for an optimized crystal structure of Si2AsRu.

a b c (Å): 7.518 7.518 7.518
angles (deg): 23.83 23.83 23.83
Atoms (fractional coordinates):
As 0.250 0.250 0.250
Ru 0.750 0.750 0.750
Si 0.005 0.005 0.005
Si 0.495 0.495 0.495

Results
As for the total moment: 0.0 μB per cell. Its crystal system is trigonal. The formation energy (no corrections) is 0.03 eV/atom. For the total energy, the calculation gives -6.165 eV per atom.

[3]
## Si3AsRu (PBE)

Data for an optimized crystal structure of Si3AsRu.

a b c (Å): 4.604 4.604 4.604
angles (deg): 90.00 90.00 90.00
Atoms (fractional coordinates):
Ru 0.000 0.000 0.000
As 0.500 0.500 0.500
Si 0.000 0.500 0.000
Si 0.000 0.000 0.500
Si 0.500 0.000 0.000

Results
As for the total moment: 0.0 μB per cell. Its crystal system is cubic. For the energy above the most stable polymorph in this dataset, the calculation gives 0.000 eV per atom. The formation energy (no corrections) is 0.42 eV/atom. For the total energy, the calculation gives -5.615 eV per atom.

[4]
## Si2AsRu (PBE)

Data for an optimized crystal structure of Si2AsRu.

a b c (Å): 7.765 7.765 7.765
angles (deg): 22.62 22.62 22.62
Atoms (fractional coordinates):
As 0.495 0.495 0.495
Ru 0.747 0.747 0.747
Si 0.003 0.003 0.003
Si 0.255 0.255 0.255

Results
As for the total moment: 0.0 μB per cell. Its crystal system is trigonal. The formation energy (no corrections) is 0.10 eV/atom. For the total energy, the calculation gives -6.096 eV per atom.

Repeat the second record exactly.
## Si2AsRu (PBE)

Data for an optimized crystal structure of Si2AsRu.

a b c (Å): 7.518 7.518 7.518
angles (deg): 23.83 23.83 23.83
Atoms (fractional coordinates):
As 0.250 0.250 0.250
Ru 0.750 0.750 0.750
Si 0.005 0.005 0.005
Si 0.495 0.495 0.495

Results
As for the total moment: 0.0 μB per cell. Its crystal system is trigonal. The formation energy (no corrections) is 0.03 eV/atom. For the total energy, the calculation gives -6.165 eV per atom.